A plane-wave DFT calculation with GGA-PBE was carried out for a relaxed SmDyTh2N4 crystal.

The structure in extended XYZ format:
```
8
Lattice="-1.810 0.325 -3.109 2.525 -5.352 -2.030 -5.319 -1.202 2.971" Properties=species:S:1:pos:R:3 pbc="T T T"
N 0.552 -4.291 -0.770
N -2.994 -4.718 -0.848
N -3.345 -2.263 1.711
N -1.610 -1.511 -1.319
Th -1.397 -3.277 0.471
Th -3.564 -0.439 -0.069
Dy 0.358 -2.514 -2.569
Sm 0.000 0.000 0.000
```

=====

A plane-wave DFT calculation with GGA-PBE was carried out for a relaxed SmDyThN3 crystal.

The structure in extended XYZ format:
```
12
Lattice="3.557 0.000 0.000 0.000 6.116 0.403 0.000 -2.352 8.890" Properties=species:S:1:pos:R:3 pbc="T T T"
Th 2.668 -0.798 8.545
Th 0.889 4.563 0.748
N 2.668 -0.122 1.396
N 2.668 2.930 1.699
N 0.889 3.886 7.897
N 0.889 0.835 7.594
N 0.889 3.449 4.769
N 2.668 0.315 4.523
Sm 0.889 1.357 2.846
Sm 2.668 2.407 6.446
Dy 2.668 4.320 3.611
Dy 0.889 -0.556 5.682
```

=====

A plane-wave DFT calculation with GGA-PBE was carried out for a relaxed SmDyTiN3 crystal.

The structure in extended XYZ format:
```
12
Lattice="3.549 0.000 0.000 0.000 7.130 0.741 0.000 -1.872 7.551" Properties=species:S:1:pos:R:3 pbc="T T T"
N 0.887 -0.821 6.500
N 2.662 0.249 4.083
N 2.662 6.079 1.792
N 0.887 5.008 4.209
N 2.662 2.594 1.330
N 0.887 2.663 6.962
Ti 2.662 5.663 3.694
Ti 0.887 -0.406 4.598
Sm 0.887 0.880 1.350
Sm 2.662 4.377 6.942
Dy 0.887 4.203 1.664
Dy 2.662 1.055 6.628
```

=====

A plane-wave DFT calculation with GGA-PBE was carried out for a relaxed SmDy2TiN4 crystal.

The structure in extended XYZ format:
```
16
Lattice="3.403 0.000 0.000 -1.701 5.866 0.000 0.000 0.000 11.904" Properties=species:S:1:pos:R:3 pbc="T T T"
N 1.701 0.766 2.976
N 0.000 5.100 8.928
N 1.701 2.776 10.412
N 0.000 3.091 4.460
N 0.000 3.091 1.492
N 0.000 0.000 0.000
N 0.000 0.000 5.952
N 1.701 2.776 7.444
Dy 0.000 4.343 11.441
Dy 1.701 1.523 5.489
Dy 1.701 1.523 0.464
Dy 0.000 4.343 6.416
Ti 1.701 3.946 8.928
Ti 0.000 1.921 2.976
Sm 0.000 1.173 8.928
Sm 1.701 4.693 2.976
```

=====

A plane-wave DFT calculation with GGA-PBE was carried out for a relaxed Sm2DyTlN crystal.

The structure in extended XYZ format:
```
5
Lattice="4.825 0.000 0.000 0.000 4.962 0.000 0.000 0.000 4.962" Properties=species:S:1:pos:R:3 pbc="T T T"
Sm 0.000 2.481 0.000
Sm 0.000 0.000 2.481
Tl 2.412 2.481 2.481
N 0.000 0.000 0.000
Dy 2.412 0.000 0.000
```

=====

A plane-wave DFT calculation with GGA-PBE was carried out for a relaxed SmDy2TlN crystal.

The structure in extended XYZ format:
```
5
Lattice="-4.157 1.023 2.487 -2.405 -3.197 -2.705 1.047 -3.479 3.181" Properties=species:S:1:pos:R:3 pbc="T T T"
Dy -1.202 -1.598 -1.352
Dy 0.524 -1.740 1.590
N 0.000 0.000 0.000
Tl -2.757 -2.827 1.482
Sm -2.079 0.511 1.244
```

=====

A plane-wave DFT calculation with GGA-PBE was carried out for a relaxed Sm2DyTmN4 crystal.

The structure in extended XYZ format:
```
8
Lattice="-2.985 1.854 0.023 0.039 -0.012 6.083 3.017 4.881 -2.034" Properties=species:S:1:pos:R:3 pbc="T T T"
Sm 0.016 3.368 -1.006
Sm 1.528 2.434 2.025
Tm 0.000 0.000 0.000
N 2.298 3.700 -0.016
N -0.758 2.097 1.012
N 0.829 4.627 3.060
N 0.758 1.169 4.065
Dy -1.473 0.921 3.053
```

=====

A plane-wave DFT calculation with GGA-PBE was carried out for a relaxed SmDy2TmN4 crystal.

The structure in extended XYZ format:
```
8
Lattice="3.487 0.000 0.000 0.000 6.038 0.108 0.000 -2.110 5.656" Properties=species:S:1:pos:R:3 pbc="T T T"
N 1.743 0.952 1.438
N 0.000 4.031 1.515
N 1.743 2.976 4.326
N 0.000 -0.104 4.249
Tm 0.000 0.000 0.000
Dy 1.743 -1.055 2.828
Dy 0.000 1.964 2.882
Sm 1.743 3.019 0.054
```

=====

Final energy / eV per atom: -8.77, -8.39, -8.37, -8.35, -5.83, -5.83, -8.08, -8.13
Energy relative to the elements, uncorrected / eV per atom: -1.58, -1.43, -1.33, -1.46, -0.89, -0.91, -1.61, -1.66